# LiPAu2

LiPAu2 after structural relaxation (GGA-PBEsol, Alexandria via LeMat-Bulk).

```
LiPAu2
1.0
3.8282 0.0000 0.0000
0.0000 3.8282 0.0000
0.0000 0.0000 8.2936
Li P Au
2 2 4
Cartesian
0.0000 0.0000 0.0000
1.9141 1.9141 4.1468
0.0000 1.9141 2.0734
1.9141 0.0000 6.2202
0.0000 0.0000 4.1468
0.0000 1.9141 6.2202
1.9141 0.0000 2.0734
1.9141 1.9141 0.0000
```

Calculated values
**Magnetic moment**: 0.0 μB per formula unit
**Fermi-level density of states**: 3.43 states/eV per cell
**Total DFT energy (no corrections)**: -16.22 eV per formula unit
**Symmetry**: I-4m2 (119)
**Formation energy from the elements**: -0.61 eV/f.u.